Computed, not measured: an optimized crystal structure of CaHgSb at the PBE level of DFT.

Results
Its total magnetic moment is 0.000 μB/atom. The calculation puts the raw total energy at -2.63 eV/atom. Its uncorrected formation energy is -0.485 eV/atom. The symmetry is Imm2 (44).

Unit cell a=3.7083 b=4.4129 c=10.1976 alpha=90.00 beta=90.00 gamma=90.00
With the nearest neighbours (Å) after each atom.
Positions (direct):
Ca 0.0000 0.0000 0.0000  5 Sb 3.33-3.42, 5 Hg 3.35-3.37, 2 Ca 3.71
Ca 0.5000 0.5000 0.5000  5 Sb 3.33-3.42, 5 Hg 3.35-3.37, 2 Ca 3.71
Hg 0.0000 0.0000 0.6717  5 Sb 3.33-3.43, 5 Ca 3.35-3.37, 2 Hg 3.71
Hg 0.5000 0.5000 0.1717  5 Sb 3.33-3.43, 5 Ca 3.35-3.37, 2 Hg 3.71
Sb 0.0000 0.0000 0.3356  5 Hg 3.33-3.43, 5 Ca 3.33-3.42, 2 Sb 3.71
Sb 0.5000 0.5000 0.8356  5 Hg 3.33-3.43, 5 Ca 3.33-3.42, 2 Sb 3.71